Record 1
A plane-wave DFT calculation with PBE was carried out for an optimized crystal structure of KTiHgI6.

density of states at the Fermi level = 0.307 states/eV per atom

Cell lengths 7.8180, 9.1031, 7.7299 Å; angles 71.33, 90.03, 53.92 degrees
Positions (direct):
K: 0.5596 0.7027 0.5754
Ti: 0.3696 0.3474 0.4884
Hg: 0.8542 0.8743 0.0133
I: 0.9591 0.4968 0.3018
I: 0.4014 0.0477 0.7795
I: 0.7844 0.1947 0.6651
I: 0.1792 0.5828 0.6862
I: 0.3406 0.6462 0.2013
I: 0.5517 0.1075 0.2889

Record 2
A plane-wave DFT calculation with PBE was carried out for an optimized crystal structure of KTiHg2I.

polymorph energy (0 for the lowest one) = 0.310 eV/atom
density of states at the Fermi level = 1.143 states/eV per atom

Cell lengths 5.4499, 7.3519, 5.4499 Å; angles 90.00, 90.00, 90.00 degrees
Last column: magnetic moment on the atom in μB.
Positions (direct):
I: 0.5000 0.5000 0.5000  0.03
K: 0.0000 0.5000 0.0000  0.02
Hg: 0.0000 0.0000 0.5000  0.04
Hg: 0.5000 0.0000 0.0000  0.12
Ti: 0.0000 0.0000 0.0000  2.00

Record 3
A plane-wave DFT calculation with PBE was carried out for an optimized crystal structure of KTiHg2I.

polymorph energy (0 for the lowest one) = 0.000 eV/atom
density of states at the Fermi level = 0.861 states/eV per atom

Cell lengths 5.6023, 5.5078, 5.6023 Å; angles 90.00, 90.00, 90.00 degrees
Last column: magnetic moment on the atom in μB.
Positions (direct):
I: 0.0000 0.5000 0.0000  -0.01
K: 0.5000 0.5000 0.5000  0.00
Hg: 0.0000 0.0000 0.5000  0.05
Hg: 0.5000 0.0000 0.0000  0.08
Ti: 0.0000 0.0000 0.0000  1.42

Record 4
A plane-wave DFT calculation with PBE was carried out for an optimized crystal structure of KTlHgI4.

density of states at the Fermi level = 0.000 states/eV per atom

Cell lengths 8.2526, 8.3253, 9.5404 Å; angles 90.00, 107.31, 90.00 degrees
Positions (direct):
K: 0.7700 0.7500 0.4381
K: 0.2300 0.2500 0.5619
Tl: 0.7738 0.7500 0.9442
Tl: 0.2262 0.2500 0.0558
Hg: 0.2466 0.7500 0.3058
Hg: 0.7534 0.2500 0.6942
I: 0.0007 0.5078 0.7565
I: 0.9993 0.0078 0.2435
I: 0.9993 0.4922 0.2435
I: 0.0007 0.9922 0.7565
I: 0.4334 0.7500 0.1031
I: 0.5666 0.2500 0.8969
I: 0.4343 0.7500 0.6061
I: 0.5657 0.2500 0.3939

Record 5
A plane-wave DFT calculation with PBE was carried out for an optimized crystal structure of KTl2HgI4.

density of states at the Fermi level = 0.164 states/eV per atom

Cell lengths 5.5599, 8.0635, 17.2528 Å; angles 90.00, 90.00, 110.17 degrees
Positions (direct):
K: 0.1531 0.3062 0.7500
K: 0.8469 0.6938 0.2500
Tl: 0.3697 0.7395 0.5471
Tl: 0.6303 0.2605 0.0471
Tl: 0.6303 0.2605 0.4529
Tl: 0.3697 0.7395 0.9529
Hg: 0.8976 0.7952 0.7500
Hg: 0.1024 0.2048 0.2500
I: 0.2671 0.5343 0.1272
I: 0.7329 0.4657 0.6272
I: 0.7329 0.4657 0.8728
I: 0.2671 0.5343 0.3728
I: 0.0000 0.0000 0.5000
I: 0.0000 0.0000 0.0000
I: 0.4489 0.8978 0.7500
I: 0.5511 0.1022 0.2500

Record 6
A plane-wave DFT calculation with PBE was carried out for an optimized crystal structure of KUHgI6.

Cell lengths 8.6597, 8.6597, 15.4309 Å; angles 90.00, 90.00, 120.00 degrees
Last column: magnetic moment on the atom in μB.
Positions (direct):
K: 0.3333 0.6667 0.2500  0.00
K: 0.6667 0.3333 0.7500  0.00
U: 0.6667 0.3333 0.2500  1.39
U: 0.3333 0.6667 0.7500  1.39
Hg: 0.0000 0.0000 0.0000  -0.02
Hg: 0.0000 0.0000 0.5000  -0.02
I: 0.6659 0.6089 0.1387  -0.05
I: 0.9431 0.3341 0.1387  -0.05
I: 0.3341 0.9431 0.6387  -0.05
I: 0.0569 0.6659 0.8613  -0.05
I: 0.3911 0.3341 0.3613  -0.05
I: 0.9431 0.6089 0.3613  -0.05
I: 0.6089 0.9431 0.8613  -0.05
I: 0.6659 0.0569 0.3613  -0.05
I: 0.0569 0.3911 0.6387  -0.05
I: 0.3911 0.0569 0.1387  -0.05
I: 0.6089 0.6659 0.6387  -0.05
I: 0.3341 0.3911 0.8613  -0.05

Record 7
A plane-wave DFT calculation with PBE was carried out for an optimized crystal structure of KUHg2I8.

density of states at the Fermi level = 0.674 states/eV per atom

Cell lengths 7.8625, 8.0471, 9.9707 Å; angles 70.38, 89.47, 98.82 degrees
Last column: magnetic moment on the atom in μB.
Positions (direct):
K: 0.0000 0.0000 0.5000  0.00
U: 0.0000 0.0000 0.0000  2.55
Hg: 0.5393 0.3354 0.6954  0.07
Hg: 0.4607 0.6646 0.3046  0.07
I: 0.0983 0.7340 0.2846  -0.01
I: 0.6425 0.7618 0.0333  0.00
I: 0.8675 0.2138 0.1608  -0.03
I: 0.9017 0.2660 0.7154  -0.01
I: 0.3575 0.2382 0.9667  0.00
I: 0.1325 0.7862 0.8392  -0.03
I: 0.5715 0.7370 0.5590  0.05
I: 0.4285 0.2630 0.4410  0.05

Record 8
A plane-wave DFT calculation with PBE was carried out for an optimized crystal structure of K2YHgI6.

density of states at the Fermi level = 0.406 states/eV per atom

Cell lengths 8.7896, 8.7896, 8.7896 Å; angles 60.00, 60.00, 60.00 degrees
Positions (direct):
K: 0.7500 0.7500 0.7500
K: 0.2500 0.2500 0.2500
Y: 0.0000 0.0000 0.0000
Hg: 0.5000 0.5000 0.5000
I: 0.2430 0.7570 0.2430
I: 0.7570 0.2430 0.2430
I: 0.7570 0.2430 0.7570
I: 0.2430 0.2430 0.7570
I: 0.7570 0.7570 0.2430
I: 0.2430 0.7570 0.7570

Record 9
A plane-wave DFT calculation with PBE was carried out for an optimized crystal structure of KZrHgI6.

density of states at the Fermi level = 0.324 states/eV per atom

Cell lengths 8.9812, 7.9944, 7.9405 Å; angles 84.47, 105.02, 56.48 degrees
Positions (direct):
K: 0.6842 0.6501 0.4371
Zr: 0.3496 0.3579 0.5107
Hg: 0.8756 0.8428 0.9838
I: 0.0305 0.4035 0.2404
I: 0.4822 0.9537 0.7268
I: 0.6699 0.3135 0.7725
I: 0.1182 0.5495 0.7230
I: 0.2128 0.7671 0.3054
I: 0.5769 0.1620 0.3003

Record 10
A plane-wave DFT calculation with PBE was carried out for an optimized crystal structure of K2ZrHg2I6.

density of states at the Fermi level = 0.000 states/eV per atom

Cell lengths 8.5637, 8.5637, 9.6087 Å; angles 99.90, 99.90, 120.81 degrees
Positions (direct):
K: 0.3318 0.6682 0.5000
K: 0.6682 0.3318 0.5000
Zr: 0.0000 0.0000 0.5000
Hg: 0.8110 0.1890 0.0000
Hg: 0.1890 0.8110 0.0000
I: 0.7971 0.7971 0.6884
I: 0.0759 0.3483 0.6903
I: 0.2029 0.2029 0.3116
I: 0.3483 0.0759 0.6903
I: 0.9241 0.6517 0.3097
I: 0.6517 0.9241 0.3097

Record 11
A plane-wave DFT calculation with PBE was carried out for an optimized crystal structure of LaHgI3.

polymorph energy (0 for the lowest one) = 0.000 eV/atom
density of states at the Fermi level = 0.000 states/eV per atom

Cell lengths 8.2450, 11.2216, 11.2199 Å; angles 70.64, 90.17, 89.88 degrees
Positions (direct):
La: 0.8805 0.3133 0.1865
La: 0.6182 0.8119 0.6859
La: 0.1195 0.6865 0.8133
La: 0.3818 0.1859 0.3119
Hg: 0.2026 0.2157 0.8021
Hg: 0.7728 0.7898 0.2015
Hg: 0.2270 0.7016 0.2898
Hg: 0.7978 0.3020 0.7158
I: 0.5962 0.1876 0.0742
I: 0.9028 0.9237 0.8115
I: 0.4032 0.8161 0.9213
I: 0.0966 0.0775 0.1837
I: 0.7812 0.5590 0.9436
I: 0.7193 0.0545 0.4406
I: 0.2188 0.4435 0.0590
I: 0.2807 0.9406 0.5545
I: 0.5970 0.4212 0.3162
I: 0.9031 0.6838 0.5774
I: 0.4036 0.5743 0.6876
I: 0.0974 0.3115 0.4238

Record 12
A plane-wave DFT calculation with PBE was carried out for an optimized crystal structure of La7HgI12.

density of states at the Fermi level = 0.601 states/eV per atom

Cell lengths 10.2340, 10.2340, 10.2340 Å; angles 108.40, 108.40, 108.40 degrees
Last column: magnetic moment on the atom in μB.
Positions (direct):
La: 0.9506 0.6627 0.8777  0.02
La: 0.3373 0.1223 0.0494  0.02
La: 0.1223 0.0494 0.3373  0.02
La: 0.5000 0.5000 0.5000  0.07
La: 0.8777 0.9506 0.6627  0.02
La: 0.6627 0.8777 0.9506  0.02
La: 0.0494 0.3373 0.1223  0.02
Hg: 0.0000 0.0000 0.0000  0.00
I: 0.9233 0.3069 0.7731  0.00
I: 0.6931 0.2269 0.0767  0.00
I: 0.4820 0.1562 0.3987  0.00
I: 0.8438 0.6013 0.5180  0.00
I: 0.2269 0.0767 0.6931  0.00
I: 0.6013 0.5180 0.8438  0.00
I: 0.3987 0.4820 0.1562  0.00
I: 0.7731 0.9233 0.3069  0.00
I: 0.1562 0.3987 0.4820  0.00
I: 0.5180 0.8438 0.6013  0.00
I: 0.3069 0.7731 0.9233  0.00
I: 0.0767 0.6931 0.2269  0.00

Record 13
A plane-wave DFT calculation with PBE was carried out for an optimized crystal structure of La2HgI.

polymorph energy (0 for the lowest one) = 0.007 eV/atom
density of states at the Fermi level = 1.076 states/eV per atom

Cell lengths 4.0872, 4.0872, 9.5724 Å; angles 77.66, 77.66, 59.99 degrees
Positions (direct):
La: 0.0800 0.0800 0.7596
La: 0.2534 0.2534 0.2401
Hg: 0.6664 0.6664 0.0000
I: 0.5002 0.5002 0.5003

Record 14
A plane-wave DFT calculation with PBE was carried out for an optimized crystal structure of LaHg3I9.

density of states at the Fermi level = 0.000 states/eV per atom

Cell lengths 10.6929, 11.7908, 12.8261 Å; angles 75.33, 65.36, 63.04 degrees
Positions (direct):
La: 0.0161 0.4990 0.0055
La: 0.4795 0.9990 0.5055
Hg: 0.8130 0.5566 0.6715
Hg: 0.9588 0.0566 0.1715
Hg: 0.0001 0.9493 0.8314
Hg: 0.2193 0.4493 0.3314
Hg: 0.5960 0.2451 0.7159
Hg: 0.4431 0.7451 0.2159
I: 0.3083 0.1810 0.3328
I: 0.1779 0.6810 0.8328
I: 0.3636 0.2929 0.9344
I: 0.4091 0.7929 0.4344
I: 0.1798 0.0961 0.7218
I: 0.0023 0.5961 0.2218
I: 0.7248 0.7565 0.0444
I: 0.4742 0.2565 0.5444
I: 0.8292 0.9256 0.3869
I: 0.8584 0.4256 0.8869
I: 0.5560 0.7908 0.7114
I: 0.9418 0.2908 0.2114
I: 0.4921 0.4870 0.2103
I: 0.8106 0.9870 0.7103
I: 0.7555 0.4011 0.5732
I: 0.2702 0.9011 0.0732
I: 0.7929 0.0764 0.0385
I: 0.0922 0.5764 0.5385

Record 15
A plane-wave DFT calculation with PBE was carried out for an optimized crystal structure of La3HgI3.

density of states at the Fermi level = 0.838 states/eV per atom

Cell lengths 11.1987, 11.1978, 11.1977 Å; angles 109.47, 109.47, 109.47 degrees
Positions (direct):
La: 0.9817 0.4909 0.2409
La: 0.5091 0.0183 0.2591
La: 0.2500 0.0091 0.4909
La: 0.9909 0.7500 0.0091
La: 0.9909 0.2409 0.4817
La: 0.7591 0.0091 0.0183
La: 0.7409 0.4817 0.4909
La: 0.7591 0.7500 0.2409
La: 0.5183 0.2591 0.0091
La: 0.2500 0.2409 0.2591
La: 0.7409 0.2591 0.7500
La: 0.5091 0.4909 0.7500
Hg: 0.7500 0.5000 0.0000
Hg: 0.5000 0.2500 0.5000
Hg: 0.7500 0.2500 0.2500
Hg: 0.0000 0.0000 0.2500
I: 0.2427 0.9927 0.9853
I: 0.7500 0.7573 0.7427
I: 0.4853 0.7427 0.9927
I: 0.0073 0.2500 0.9927
I: 0.2573 0.7427 0.2500
I: 0.4927 0.5073 0.2500
I: 0.2427 0.2500 0.7573
I: 0.2573 0.5147 0.5073
I: 0.7500 0.9927 0.5073
I: 0.0147 0.5073 0.7573
I: 0.0073 0.7573 0.5147
I: 0.4927 0.9853 0.7427

Record 16
A plane-wave DFT calculation with PBE was carried out for an optimized crystal structure of La2HgI.

polymorph energy (0 for the lowest one) = 0.017 eV/atom
density of states at the Fermi level = 1.332 states/eV per atom

Cell lengths 3.7763, 3.7763, 8.6641 Å; angles 90.00, 90.00, 90.00 degrees
Positions (direct):
I: 0.5000 0.5000 0.5000
Hg: 0.5000 0.5000 0.0000
La: 0.0000 0.0000 0.7636
La: 0.0000 0.0000 0.2364

Record 17
A plane-wave DFT calculation with PBE was carried out for an optimized crystal structure of LaHgI3.

polymorph energy (0 for the lowest one) = 0.051 eV/atom
density of states at the Fermi level = 0.000 states/eV per atom

Cell lengths 6.3172, 6.3172, 6.3172 Å; angles 90.00, 90.00, 90.00 degrees
Positions (direct):
I: 0.0000 0.5000 0.0000
I: 0.0000 0.0000 0.5000
I: 0.5000 0.0000 0.0000
Hg: 0.5000 0.5000 0.5000
La: 0.0000 0.0000 0.0000

Record 18
A plane-wave DFT calculation with PBE was carried out for an optimized crystal structure of LaHgI2.

polymorph energy (0 for the lowest one) = 0.000 eV/atom
density of states at the Fermi level = 0.495 states/eV per atom

Cell lengths 4.2891, 4.2891, 12.7463 Å; angles 80.31, 80.31, 60.00 degrees
Positions (direct):
I: 0.1108 0.1108 0.6675
I: 0.8892 0.8892 0.3325
Hg: 0.0000 0.0000 0.0000
La: 0.5000 0.5000 0.5000

Record 19
A plane-wave DFT calculation with PBE was carried out for an optimized crystal structure of La3HgI.

polymorph energy (0 for the lowest one) = 0.000 eV/atom
density of states at the Fermi level = 1.211 states/eV per atom

Cell lengths 7.2857, 9.8764, 9.8764 Å; angles 85.84, 76.14, 76.14 degrees
Positions (direct):
La: 0.1233 0.7672 0.8593
La: 0.3767 0.1407 0.2328
La: 0.8767 0.2328 0.1407
La: 0.6233 0.8593 0.7672
La: 0.3712 0.3787 0.9524
La: 0.1288 0.0476 0.6213
La: 0.6288 0.6213 0.0476
La: 0.8712 0.9524 0.3787
La: 0.9619 0.4023 0.7725
La: 0.5381 0.2275 0.5977
La: 0.0381 0.5977 0.2275
La: 0.4619 0.7725 0.4023
Hg: 0.7500 0.8944 0.1056
Hg: 0.2500 0.1056 0.8944
Hg: 0.7500 0.1258 0.8742
Hg: 0.2500 0.8742 0.1258
I: 0.5499 0.5636 0.6816
I: 0.9501 0.3184 0.4364
I: 0.4501 0.4364 0.3184
I: 0.0499 0.6816 0.5636

Record 20
A plane-wave DFT calculation with PBE was carried out for an optimized crystal structure of LaHgI2.

polymorph energy (0 for the lowest one) = 0.198 eV/atom
density of states at the Fermi level = 1.132 states/eV per atom

Cell lengths 5.7225, 5.7225, 5.7225 Å; angles 60.00, 60.00, 60.00 degrees
Last column: magnetic moment on the atom in μB.
Positions (direct):
I: 0.2500 0.2500 0.2500  0.00
I: 0.7500 0.7500 0.7500  0.00
Hg: 0.5000 0.5000 0.5000  -0.03
La: 0.0000 0.0000 0.0000  -0.41

Calculated E_form (uncorrected), -0.720, 0.158, -0.151, -0.731, -0.681, -0.829, -0.650, -1.066, -0.829, -0.930, -1.167, -1.301, -0.707, -0.622, -1.054, -0.697, -1.117, -1.008, -0.493, -0.810 eV/atom (same order as the records).
Calculated theoretical density, 4.267, 4.677, 5.908, 5.051, 5.288, 4.107, 4.799, 3.905, 4.139, 3.898, 4.885, 5.228, 7.490, 4.788, 6.133, 8.135, 4.744, 4.946, 7.380, 7.435 Mg/m³ (same order as the records).